(1)
First-principles (PBE) data for a relaxed structure of CaDyTlBr6, as listed in the Alexandria database.

Values from the calculation:
The density is 4.25 g/cm3. The total magnetization is 0.000 μB/f.u. The raw formation energy is -1724 meV/atom.

Geometry as CIF:
```
data_CaDyTlBr6
_chemical_formula_sum 'Ca2 Dy2 Tl2 Br12'
_cell_length_a 7.4523
_cell_length_b 7.4523
_cell_length_c 14.3956
_cell_angle_alpha 90.00
_cell_angle_beta 90.00
_cell_angle_gamma 120.00
_symmetry_space_group_name_H-M 'P -3 1 c'
_symmetry_Int_Tables_number 163
_symmetry_space_group_name_Hall '-P 3 2c'
loop_
_atom_site_label
_atom_site_type_symbol
_atom_site_fract_x
_atom_site_fract_y
_atom_site_fract_z
Ca1 Ca 0.3333 0.6667 0.2500
Dy1 Dy 0.3333 0.6667 0.7500
Tl1 Tl 0.0000 0.0000 0.0000
Br1 Br 0.0103 0.3746 0.6371
```

=====

(2)
First-principles (PBE) data for a relaxed structure of CaErBr, as listed in the Alexandria database.

Values from the calculation:
The density is 5.36 g/cm3. The total magnetization is 0.705 μB/f.u. The raw formation energy is -680 meV/atom.

Geometry as CIF:
```
data_CaErBr
_chemical_formula_sum 'Ca2 Er2 Br2'
_cell_length_a 3.7105
_cell_length_b 3.7105
_cell_length_c 14.9159
_cell_angle_alpha 90.00
_cell_angle_beta 90.00
_cell_angle_gamma 120.00
_symmetry_space_group_name_H-M 'P -6 m 2'
_symmetry_Int_Tables_number 187
_symmetry_space_group_name_Hall 'P -6 2'
loop_
_atom_site_label
_atom_site_type_symbol
_atom_site_fract_x
_atom_site_fract_y
_atom_site_fract_z
Ca1 Ca 0.0000 0.0000 0.0000
Ca2 Ca 0.3333 0.6667 0.5000
Er1 Er 0.3333 0.6667 0.1991
Br1 Br 0.0000 0.0000 0.3495
```

=====

(3)
First-principles (PBE) data for a relaxed structure of Ca2ErBr, as listed in the Alexandria database.

Values from the calculation:
The density is 4.20 g/cm3. The total magnetization is 0.002 μB/f.u. The raw formation energy is -622 meV/atom.

Geometry as CIF:
```
data_Ca2ErBr
_chemical_formula_sum 'Ca6 Er3 Br3'
_cell_length_a 3.7858
_cell_length_b 3.7858
_cell_length_c 31.2719
_cell_angle_alpha 90.00
_cell_angle_beta 90.00
_cell_angle_gamma 120.00
_symmetry_space_group_name_H-M 'R -3 m'
_symmetry_Int_Tables_number 166
_symmetry_space_group_name_Hall '-R 3 2"'
loop_
_atom_site_label
_atom_site_type_symbol
_atom_site_fract_x
_atom_site_fract_y
_atom_site_fract_z
Ca1 Ca 0.0000 0.0000 0.2396
Er1 Er 0.0000 0.0000 0.0000
Br1 Br 0.0000 0.0000 0.5000
```

=====

(4)
First-principles (PBE) data for a relaxed structure of CaErInBr6, as listed in the Alexandria database.

Values from the calculation:
The density is 3.90 g/cm3. The total magnetization is 0.000 μB/f.u. The raw formation energy is -1669 meV/atom.

Geometry as CIF:
```
data_CaErInBr6
_chemical_formula_sum 'Ca2 Er2 In2 Br12'
_cell_length_a 7.4103
_cell_length_b 7.4103
_cell_length_c 14.3406
_cell_angle_alpha 90.00
_cell_angle_beta 90.00
_cell_angle_gamma 120.00
_symmetry_space_group_name_H-M 'P -3 1 c'
_symmetry_Int_Tables_number 163
_symmetry_space_group_name_Hall '-P 3 2c'
loop_
_atom_site_label
_atom_site_type_symbol
_atom_site_fract_x
_atom_site_fract_y
_atom_site_fract_z
Ca1 Ca 0.3333 0.6667 0.2500
Er1 Er 0.3333 0.6667 0.7500
In1 In 0.0000 0.0000 0.0000
Br1 Br 0.0127 0.3737 0.6374
```

=====

(5)
First-principles (PBE) data for a relaxed structure of KCaErBr6, as listed in the Alexandria database.

Values from the calculation:
The density is 3.52 g/cm3. The total magnetization is 0.000 μB/f.u. The raw formation energy is -1926 meV/atom.

Geometry as CIF:
```
data_KCaErBr6
_chemical_formula_sum 'K2 Ca2 Er2 Br12'
_cell_length_a 7.4284
_cell_length_b 7.4284
_cell_length_c 14.3329
_cell_angle_alpha 90.00
_cell_angle_beta 90.00
_cell_angle_gamma 120.00
_symmetry_space_group_name_H-M 'P -3 1 c'
_symmetry_Int_Tables_number 163
_symmetry_space_group_name_Hall '-P 3 2c'
loop_
_atom_site_label
_atom_site_type_symbol
_atom_site_fract_x
_atom_site_fract_y
_atom_site_fract_z
K1 K 0.0000 0.0000 0.0000
Ca1 Ca 0.3333 0.6667 0.2500
Er1 Er 0.3333 0.6667 0.7500
Br1 Br 0.0127 0.3754 0.6373
```

=====

(6)
First-principles (PBE) data for a relaxed structure of LiCaErBr6, as listed in the Alexandria database.

Values from the calculation:
The density is 4.08 g/cm3. The total magnetization is 0.000 μB/f.u. The raw formation energy is -1821 meV/atom.

Geometry as CIF:
```
data_LiCaErBr6
_chemical_formula_sum 'Li2 Ca2 Er2 Br12'
_cell_length_a 7.1590
_cell_length_b 7.1590
_cell_length_c 12.7195
_cell_angle_alpha 90.00
_cell_angle_beta 90.00
_cell_angle_gamma 120.00
_symmetry_space_group_name_H-M 'P -3 1 c'
_symmetry_Int_Tables_number 163
_symmetry_space_group_name_Hall '-P 3 2c'
loop_
_atom_site_label
_atom_site_type_symbol
_atom_site_fract_x
_atom_site_fract_y
_atom_site_fract_z
Li1 Li 0.0000 0.0000 0.0000
Ca1 Ca 0.3333 0.6667 0.2500
Er1 Er 0.3333 0.6667 0.7500
Br1 Br 0.0134 0.3452 0.6253
```

=====

(7)
First-principles (PBE) data for a relaxed structure of NaCaErBr6, as listed in the Alexandria database.

Values from the calculation:
The density is 3.85 g/cm3. The total magnetization is 0.000 μB/f.u. The raw formation energy is -1859 meV/atom.

Geometry as CIF:
```
data_NaCaErBr6
_chemical_formula_sum 'Na2 Ca2 Er2 Br12'
_cell_length_a 7.3006
_cell_length_b 7.3006
_cell_length_c 13.2683
_cell_angle_alpha 90.00
_cell_angle_beta 90.00
_cell_angle_gamma 120.00
_symmetry_space_group_name_H-M 'P -3 1 c'
_symmetry_Int_Tables_number 163
_symmetry_space_group_name_Hall '-P 3 2c'
loop_
_atom_site_label
_atom_site_type_symbol
_atom_site_fract_x
_atom_site_fract_y
_atom_site_fract_z
Na1 Na 0.0000 0.0000 0.0000
Ca1 Ca 0.3333 0.6667 0.2500
Er1 Er 0.3333 0.6667 0.7500
Br1 Br 0.0131 0.3595 0.6298
```

=====

(8)
First-principles (PBE) data for a relaxed structure of NaCa2ErBr8, as listed in the Alexandria database.

Values from the calculation:
The density is 3.73 g/cm3. The total magnetization is 0.000 μB/f.u. The raw formation energy is -1878 meV/atom.

Geometry as CIF:
```
data_NaCa2ErBr8
_chemical_formula_sum 'Na1 Ca2 Er1 Br8'
_cell_length_a 6.697
_cell_length_b 8.757
_cell_length_c 6.912
_cell_angle_alpha 90.00
_cell_angle_beta 90.18
_cell_angle_gamma 90.00
_symmetry_space_group_name_H-M 'P 1 2/m 1'
_symmetry_Int_Tables_number 10
loop_
_symmetry_equiv_pos_as_xyz
'x,y,z'
'-x,-y,-z'
'-x,y,-z'
'x,-y,z'
loop_
_atom_site_label
_atom_site_type_symbol
_atom_site_fract_x
_atom_site_fract_y
_atom_site_fract_z
Na1 Na 0.000 0.000 0.000
Ca1 Ca 0.500 0.243 0.500
Er1 Er 0.000 0.500 0.000
Br1 Br 0.220 0.269 0.827
Br2 Br 0.269 0.500 0.319
Br3 Br 0.281 0.000 0.327
```

=====

(9)
First-principles (PBE) data for a relaxed structure of RbCa2ErBr8, as listed in the Alexandria database.

Values from the calculation:
The density is 3.70 g/cm3. The total magnetization is 0.000 μB/f.u. The raw formation energy is -1891 meV/atom.

Geometry as CIF:
```
data_RbCa2ErBr8
_chemical_formula_sum 'Rb1 Ca2 Er1 Br8'
_cell_length_a 6.741
_cell_length_b 9.185
_cell_length_c 7.044
_cell_angle_alpha 90.00
_cell_angle_beta 90.70
_cell_angle_gamma 90.00
_symmetry_space_group_name_H-M 'P 1 2/m 1'
_symmetry_Int_Tables_number 10
loop_
_symmetry_equiv_pos_as_xyz
'x,y,z'
'-x,-y,-z'
'-x,y,-z'
'x,-y,z'
loop_
_atom_site_label
_atom_site_type_symbol
_atom_site_fract_x
_atom_site_fract_y
_atom_site_fract_z
Rb1 Rb 0.000 0.000 0.000
Ca1 Ca 0.500 0.249 0.500
Er1 Er 0.000 0.500 0.000
Br1 Br 0.241 0.290 0.166
Br2 Br 0.257 0.500 0.676
Br3 Br 0.271 0.000 0.619
```

=====

(10)
First-principles (PBE) data for a relaxed structure of CaErTlBr6, as listed in the Alexandria database.

Values from the calculation:
The density is 4.30 g/cm3. The total magnetization is 0.000 μB/f.u. The raw formation energy is -1721 meV/atom.

Geometry as CIF:
```
data_CaErTlBr6
_chemical_formula_sum 'Ca2 Er2 Tl2 Br12'
_cell_length_a 7.4233
_cell_length_b 7.4233
_cell_length_c 14.4064
_cell_angle_alpha 90.00
_cell_angle_beta 90.00
_cell_angle_gamma 120.00
_symmetry_space_group_name_H-M 'P -3 1 c'
_symmetry_Int_Tables_number 163
_symmetry_space_group_name_Hall '-P 3 2c'
loop_
_atom_site_label
_atom_site_type_symbol
_atom_site_fract_x
_atom_site_fract_y
_atom_site_fract_z
Ca1 Ca 0.3333 0.6667 0.2500
Er1 Er 0.3333 0.6667 0.7500
Tl1 Tl 0.0000 0.0000 0.0000
Br1 Br 0.0125 0.3758 0.6378
```

=====

(11)
First-principles (PBE) data for a relaxed structure of CaEu3Br, as listed in the Alexandria database.

Values from the calculation:
The density is 4.59 g/cm3. The total magnetization is 23.669 μB/f.u. The raw formation energy is -426 meV/atom.

Geometry as CIF:
```
data_CaEu3Br
_chemical_formula_sum 'Ca1 Eu3 Br1'
_cell_length_a 5.927
_cell_length_b 5.927
_cell_length_c 5.927
_cell_angle_alpha 90.00
_cell_angle_beta 90.00
_cell_angle_gamma 90.00
_symmetry_space_group_name_H-M 'P m -3 m'
_symmetry_Int_Tables_number 221
_symmetry_space_group_name_Hall '-P 4 2 3'
loop_
_atom_site_label
_atom_site_type_symbol
_atom_site_fract_x
_atom_site_fract_y
_atom_site_fract_z
Ca1 Ca 0.000 0.000 0.000
Eu1 Eu 0.000 0.500 0.500
Br1 Br 0.500 0.500 0.500
```

=====

(12)
First-principles (PBE) data for a relaxed structure of CaEu2Br, as listed in the Alexandria database.

Values from the calculation:
The density is 4.77 g/cm3. The total magnetization is 15.039 μB/f.u. The calculation puts the energy above the most stable polymorph in this dataset at 0.38 eV per formula unit. The raw formation energy is -605 meV/atom.

Geometry as CIF:
```
data_CaEu2Br
_chemical_formula_sum 'Ca1 Eu2 Br1'
_cell_length_a 3.777
_cell_length_b 3.777
_cell_length_c 10.347
_cell_angle_alpha 90.00
_cell_angle_beta 90.00
_cell_angle_gamma 90.00
_symmetry_space_group_name_H-M 'P 4/m m m'
_symmetry_Int_Tables_number 123
_symmetry_space_group_name_Hall '-P 4 2'
loop_
_atom_site_label
_atom_site_type_symbol
_atom_site_fract_x
_atom_site_fract_y
_atom_site_fract_z
Ca1 Ca 0.000 0.000 0.000
Eu1 Eu 0.500 0.500 0.288
Br1 Br 0.000 0.000 0.500
```